4
Lattice="3.6207 0.0000 0.0000 0.0000 3.6207 0.0000 0.0000 0.0000 8.3877" Properties=species:S:1:pos:R:3 comment="Ca2BeSb GGA-PBE relaxed" magmom_total_mub_per_atom=0.0000 relative_energy_mev_per_atom=402.1 dos_at_fermi_per_ev_cell=4.172 formation_energy_uncorrected_ev_per_atom=-0.014 volume_a3_per_atom=27.49 final_energy_ev_per_cell=-11.9 pbc="T T T"
Ca 0.0000 0.0000 0.0000
Ca 1.8103 1.8103 3.1755
Be 1.8103 1.8103 6.2968
Sb 0.0000 0.0000 5.3106

=====

7
Lattice="-2.5053 2.5053 8.0182 2.5053 -2.5053 8.0182 2.5053 2.5053 -8.0182" Properties=species:S:1:pos:R:3 comment="MgTl2Cl4 GGA-PBE relaxed" magmom_total_mub_per_atom=0.0000 relative_energy_mev_per_atom=0.0 dos_at_fermi_per_ev_cell=0.000 formation_energy_uncorrected_ev_per_atom=-1.370 volume_a3_per_atom=28.76 final_energy_ev_per_cell=-23.3 pbc="T T T"
Mg 0.0000 0.0000 0.0000
Tl 0.0000 0.0000 5.7034
Tl 0.0000 0.0000 10.3330
Cl 2.5053 0.0000 0.0000
Cl 0.0000 0.0000 2.5113
Cl 0.0000 2.5053 0.0000
Cl 0.0000 0.0000 13.5251

=====

no.,theoretical density (g cm⁻³)
1,3.19
2,4.74